Material: Cr9FeB6
Method: DFT, PBEsol
State: relaxed

Energy relative to the elements   -45.15 kJ per mole of atoms
Mass density   6.949 g cm⁻³
Total magnetization   0.00 μB per formula unit
Energy   -9.420 eV/atom
D(E_F)   11.7 states/eV/cell
Calculated volume   8.79 Å³/atom

```
Cr9FeB6
1.0
5.328 0.000 0.000
0.000 5.328 0.000
-2.664 -2.664 4.956
Cr Fe B
9 1 6
Direct
0.479 0.975 0.296 Cr
0.817 0.321 0.296 Cr
0.975 0.817 0.296 Cr
0.321 0.479 0.296 Cr
0.521 0.025 0.704 Cr
0.183 0.679 0.704 Cr
0.025 0.183 0.704 Cr
0.679 0.521 0.704 Cr
0.500 0.500 0.000 Cr
0.000 0.000 0.000 Fe
0.116 0.624 0.000 B
0.884 0.376 0.000 B
0.624 0.884 0.000 B
0.376 0.116 0.000 B
0.749 0.749 0.498 B
0.251 0.251 0.502 B
```

---

Material: Cr2FeB2
Method: DFT, PBEsol
State: relaxed

Energy relative to the elements   -46.53 kJ per mole of atoms
Mass density   7.091 g cm⁻³
Total magnetization   1.90 μB per formula unit
Energy   -9.178 eV/atom
D(E_F)   6.3 states/eV/cell
Calculated volume   8.50 Å³/atom

```
Cr2FeB2
1.0
-0.249 -2.898 -0.111
5.237 -0.498 1.234
-1.248 -0.094 5.257
Cr B Fe
4 4 2
Direct
0.500 0.174 0.674 Cr
0.500 0.674 0.826 Cr
0.500 0.826 0.326 Cr
0.500 0.326 0.174 Cr
0.000 0.383 0.883 B
0.000 0.883 0.617 B
0.000 0.617 0.117 B
0.000 0.117 0.383 B
0.000 0.000 0.000 Fe
0.000 0.500 0.500 Fe
```

---

Material: CrFe3B2
Method: DFT, PBEsol
State: relaxed

Energy relative to the elements   -35.27 kJ per mole of atoms
Mass density   7.896 g cm⁻³
Total magnetization   1.85 μB per formula unit
Energy   -8.893 eV/atom
D(E_F)   6.5 states/eV/cell
Calculated volume   8.45 Å³/atom

```
CrFe3B2
1.0
4.020 0.009 0.000
-1.973 3.503 0.000
-1.024 -1.756 3.598
Cr B Fe
1 2 3
Direct
0.843 0.157 0.000 Cr
0.747 0.253 0.500 B
0.247 0.753 0.500 B
0.163 0.837 0.000 Fe
0.340 0.340 0.680 Fe
0.660 0.660 0.320 Fe
```

---

Material: Cr2FeGeB
Method: DFT, PBEsol
State: relaxed

Energy relative to the elements   9.89 kJ per mole of atoms
Mass density   7.063 g cm⁻³
Total magnetization   4.58 μB per formula unit
Energy   -8.178 eV/atom
D(E_F)   3.7 states/eV/cell
Calculated volume   11.44 Å³/atom

```
Cr2FeGeB
1.0
-0.241 3.300 1.698
-3.325 -1.139 1.741
2.065 -1.405 3.024
Cr Ge B Fe
2 1 1 1
Direct
0.000 0.000 0.500 Cr
0.000 0.500 0.000 Cr
0.500 0.500 0.500 Ge
0.000 0.000 0.000 B
0.500 0.000 0.000 Fe
```

---

Material: CrFeB2Mo
Method: DFT, PBEsol
State: relaxed

Energy relative to the elements   157.98 kJ per mole of atoms
Mass density   5.226 g cm⁻³
Total magnetization   4.97 μB per formula unit
Energy   -7.364 eV/atom
D(E_F)   4.7 states/eV/cell
Calculated volume   14.32 Å³/atom

```
CrFeB2Mo
1.0
4.068 0.000 0.000
0.000 4.068 0.000
0.000 0.000 4.327
Cr Mo B Fe
1 1 2 1
Direct
0.500 0.500 0.500 Cr
0.000 0.000 0.000 Mo
0.000 0.500 0.000 B
0.500 0.000 0.000 B
0.000 0.000 0.500 Fe
```

---

Material: Ti2CrFeB
Method: DFT, PBEsol
State: relaxed

Energy relative to the elements   125.13 kJ per mole of atoms
Mass density   4.716 g cm⁻³
Total magnetization   0.70 μB per formula unit
Energy   -7.276 eV/atom
D(E_F)   4.7 states/eV/cell
Calculated volume   15.10 Å³/atom

```
Ti2CrFeB
1.0
3.945 0.000 0.000
0.000 4.374 0.000
0.000 0.000 4.374
Cr B Fe Ti
1 1 1 2
Direct
0.000 0.000 0.000 Cr
0.500 0.500 0.500 B
0.500 0.000 0.000 Fe
0.000 0.000 0.500 Ti
0.000 0.500 0.000 Ti
```

---

Material: CrGaB2Ru
Method: DFT, PBEsol
State: relaxed

Energy relative to the elements   178.62 kJ per mole of atoms
Mass density   5.779 g cm⁻³
Total magnetization   2.99 μB per formula unit
Energy   -5.706 eV/atom
D(E_F)   6.2 states/eV/cell
Calculated volume   14.05 Å³/atom

```
CrGaB2Ru
1.0
-2.263 0.318 3.149
-3.153 0.122 -2.278
-0.340 -4.621 0.223
Ru B Ga Cr
1 2 1 1
Direct
0.000 0.000 0.500 Ru
0.000 0.500 0.000 B
0.500 0.000 0.000 B
0.000 0.000 0.000 Ga
0.500 0.500 0.500 Cr
```

---

Material: TaCr2GaB
Method: DFT, PBEsol
State: relaxed

Energy relative to the elements   198.22 kJ per mole of atoms
Mass density   6.835 g cm⁻³
Total magnetization   5.65 μB per formula unit
Energy   -6.624 eV/atom
D(E_F)   4.7 states/eV/cell
Calculated volume   17.76 Å³/atom

```
TaCr2GaB
1.0
4.329 0.000 0.000
0.000 4.329 0.000
0.000 0.000 4.738
Cr B Ga Ta
2 1 1 1
Direct
0.000 0.500 0.000 Cr
0.500 0.000 0.000 Cr
0.500 0.500 0.500 B
0.000 0.000 0.000 Ga
0.000 0.000 0.500 Ta
```

---

Material: CrBH2
Method: DFT, PBEsol
State: relaxed

Mass density   4.956 g cm⁻³
Total magnetization   1.21 μB per formula unit
Energy   -5.427 eV/atom
D(E_F)   1.2 states/eV/cell
Calculated volume   5.43 Å³/atom

```
CrBH2
1.0
3.132 0.000 0.000
1.566 2.712 0.000
1.566 0.904 2.557
Cr B H
1 1 2
Direct
0.500 0.500 0.500 Cr
0.000 0.000 0.000 B
0.250 0.250 0.250 H
0.750 0.750 0.750 H
```

---

Material: CrB3H
Method: DFT, PBEsol
State: relaxed

Mass density   4.632 g cm⁻³
Total magnetization   1.18 μB per formula unit
Energy   -6.166 eV/atom
D(E_F)   2.5 states/eV/cell
Calculated volume   6.13 Å³/atom

```
CrB3H
1.0
-0.647 1.557 -2.636
-2.670 1.031 1.265
1.498 2.510 1.115
Cr B H
1 3 1
Direct
0.500 0.500 0.500 Cr
0.000 0.500 0.000 B
0.000 0.000 0.500 B
0.500 0.000 0.000 B
0.000 0.000 0.000 H
```

---

Material: HfCrB3
Method: DFT, PBEsol
State: relaxed

Energy relative to the elements   20.56 kJ per mole of atoms
Mass density   8.161 g cm⁻³
Total magnetization   0.00 μB per formula unit
Energy   -8.146 eV/atom
D(E_F)   2.1 states/eV/cell
Calculated volume   10.70 Å³/atom

```
HfCrB3
1.0
3.768 0.000 0.000
0.000 3.768 0.000
0.000 0.000 3.768
Cr B Hf
1 3 1
Direct
0.000 0.000 0.000 Cr
0.000 0.500 0.000 B
0.000 0.000 0.500 B
0.500 0.000 0.000 B
0.500 0.500 0.500 Hf
```

---

Material: HfTlCrB2
Method: DFT, PBEsol
State: relaxed

Energy relative to the elements   94.09 kJ per mole of atoms
Mass density   9.604 g cm⁻³
Total magnetization   0.03 μB per formula unit
Energy   -6.506 eV/atom
D(E_F)   3.4 states/eV/cell
Calculated volume   15.79 Å³/atom

```
HfTlCrB2
1.0
-2.136 3.520 -0.053
-0.717 -0.495 -4.024
-3.897 -2.350 0.984
Cr Tl B Hf
1 1 2 1
Direct
0.000 0.000 0.000 Cr
0.500 0.500 0.500 Tl
0.000 0.500 0.000 B
0.500 0.000 0.000 B
0.000 0.000 0.500 Hf
```